Below is an optimized crystal structure of HfNpRu4, with properties calculated at the GGA-PBE level.

Summary:
Energy of formation from the pure elements ... -0.14 eV/atom
VASP energy ... -0.3724 hartree per atom

a = 5.2487 Å, b = 5.2487 Å, c = 5.2487 Å
α = 60.00°, β = 60.00°, γ = 60.00°
Sites, in units of the cell vectors:
Hf1 0.2500 0.2500 0.2500
Ru1 0.6246 0.6246 0.6246
Ru2 0.1261 0.6246 0.6246
Ru3 0.6246 0.6246 0.1261
Ru4 0.6246 0.1261 0.6246
Np1 0.0000 0.0000 0.0000

***

Below is an optimized crystal structure of Nd5SmDy3, with properties calculated at the GGA-PBE level.

Summary:
Energy of formation from the pure elements ... 0.41 eV/atom
VASP energy ... -0.1578 hartree per atom

a = 9.5209 Å, b = 9.5209 Å, c = 12.4247 Å
α = 54.41°, β = 54.41°, γ = 49.84°
Sites, in units of the cell vectors:
Nd1 0.6206 0.6206 0.4416
Nd2 0.3284 0.6716 0.0000
Nd3 0.3513 0.7815 0.2121
Nd4 0.2185 0.6487 0.7879
Nd5 0.3794 0.3794 0.5584
Nd6 0.7423 0.7423 0.8624
Nd7 0.7815 0.3513 0.2121
Nd8 0.6487 0.2185 0.7879
Nd9 0.6716 0.3284 0.0000
Nd10 0.2577 0.2577 0.1376
Dy1 0.7904 0.7904 0.0870
Dy2 0.0000 0.0000 0.0000
Dy3 0.0000 0.0000 0.5000
Dy4 0.3298 0.3298 0.3359
Dy5 0.2096 0.2096 0.9130
Dy6 0.6702 0.6702 0.6641
Sm1 0.8736 0.8736 0.3313
Sm2 0.1264 0.1264 0.6687

***

Below is an optimized crystal structure of CeSc2UC4, with properties calculated at the GGA-PBE level.

Summary:
Energy of formation from the pure elements ... -0.26 eV/atom
VASP energy ... -0.3162 hartree per atom

a = 3.5128 Å, b = 5.9051 Å, c = 6.0941 Å
α = 70.18°, β = 90.00°, γ = 90.00°
Sites, in units of the cell vectors:
C1 0.5000 0.7450 0.2628
C2 0.0000 0.2596 0.2728
C3 0.5000 0.2550 0.7372
C4 0.0000 0.7404 0.7272
Sc1 0.5000 0.0000 0.5000
Sc2 0.0000 0.0000 0.0000
U1 0.0000 0.5000 0.5000
Ce1 0.5000 0.5000 0.0000

***

Below is an optimized crystal structure of Ac2SeClF2, with properties calculated at the GGA-PBE level.

Summary:
VASP energy ... -0.2132 hartree per atom

a = 4.3435 Å, b = 4.3435 Å, c = 8.3922 Å
α = 90.00°, β = 90.00°, γ = 120.00°
Sites, in units of the cell vectors:
F1 0.6667 0.3333 0.7822
F2 0.3333 0.6667 0.2178
Ac1 0.6667 0.3333 0.2678
Ac2 0.3333 0.6667 0.7322
Se1 0.0000 0.0000 0.5000
Cl1 0.0000 0.0000 0.0000

***

Below is an optimized crystal structure of Al2CdSi, with properties calculated at the GGA-PBE level.

Summary:
VASP energy ... -0.1200 hartree per atom

a = 3.8902 Å, b = 2.7697 Å, c = 7.0908 Å
α = 78.59°, β = 90.00°, γ = 90.00°
Sites, in units of the cell vectors:
Al1 0.5000 0.3304 0.2148
Al2 0.0000 0.9454 0.9857
Cd1 0.0000 0.6913 0.4901
Si1 0.5000 0.5330 0.8094

***

Below is an optimized crystal structure of U3Co, with properties calculated at the GGA-PBE level.

Summary:
Energy of formation from the pure elements ... 0.13 eV/atom
VASP energy ... -0.3716 hartree per atom

a = 2.8358 Å, b = 4.6360 Å, c = 5.4690 Å
α = 90.00°, β = 90.00°, γ = 90.00°
Sites, in units of the cell vectors:
U1 0.0000 0.5000 0.2648
U2 0.5000 0.0000 0.5655
U3 0.5000 0.5000 0.7983
Co1 0.0000 0.0000 0.0381

***

Below is an optimized crystal structure of U6Re2Tc, with properties calculated at the GGA-PBE level.

Summary:
Energy of formation from the pure elements ... 0.26 eV/atom
VASP energy ... -0.4108 hartree per atom

a = 4.8236 Å, b = 5.8174 Å, c = 7.0636 Å
α = 114.32°, β = 104.10°, γ = 90.00°
Sites, in units of the cell vectors:
U1 0.6469 0.3394 0.2360
U2 0.2169 0.2145 0.4291
U3 0.3531 0.1034 0.7640
U4 0.3531 0.6606 0.7640
U5 0.7831 0.7855 0.5709
U6 0.6469 0.8966 0.2360
Re1 0.8457 0.4034 0.8067
Re2 0.1543 0.5966 0.1933
Tc1 0.0000 0.0000 0.0000

***

Below is an optimized crystal structure of CaHo14Er, with properties calculated at the GGA-PBE level.

Summary:
Energy of formation from the pure elements ... 0.03 eV/atom
VASP energy ... -0.1613 hartree per atom

a = 7.2264 Å, b = 7.2264 Å, c = 11.2253 Å
α = 90.00°, β = 90.00°, γ = 119.98°
Sites, in units of the cell vectors:
Ho1 0.3333 0.6667 0.7530
Ho2 0.6668 0.8333 0.5000
Ho3 0.6657 0.8332 0.0000
Ho4 0.8355 0.1645 0.2539
Ho5 0.3291 0.1645 0.7462
Ho6 0.1668 0.8332 0.5000
Ho7 0.1668 0.3343 0.0000
Ho8 0.8355 0.1645 0.7461
Ho9 0.3291 0.1645 0.2538
Ho10 0.8355 0.6709 0.7462
Ho11 0.3333 0.6667 0.2470
Ho12 0.8355 0.6709 0.2538
Ho13 0.1667 0.3332 0.5000
Ho14 0.6668 0.3332 0.5000
Ca1 0.6665 0.3335 0.0000
Er1 0.1669 0.8331 0.0000